Entry 1:
BaSc2Be | PBE | optimized geometry

a = 5.0814 Å, b = 5.0814 Å, c = 3.8245 Å
α = 90.00°, β = 90.00°, γ = 90.00°
Fractional positions:
Sc: 0.0000 0.0000 0.0000
Sc: 0.5000 0.5000 0.0000
Be: 0.0000 0.5000 0.5000
Ba: 0.5000 0.0000 0.5000

M_tot in μB per formula unit: 0.00
Space-group type: P4/mmm
V in Å³ per cell: 99
Formation energy from the elements in eV per atom: 0.7004

---

Entry 2:
MgAgAs2 | PBE | optimized geometry

a = 5.9770 Å, b = 5.9770 Å, c = 5.9770 Å
α = 144.76°, β = 139.50°, γ = 54.75°
Fractional positions:
Ag: 0.7907 0.2907 0.5000
As: 0.0082 0.0082 0.0000
As: 0.2057 0.7057 0.5000
Mg: 0.4953 0.4953 0.0000

M_tot in μB per formula unit: 0.00
Space-group type: Imm2
V in Å³ per cell: 79
Formation energy from the elements in eV per atom: -0.0394

---

Entry 3:
AcDySn3 | PBE | optimized geometry

a = 6.4923 Å, b = 10.2717 Å, c = 10.2717 Å
α = 114.16°, β = 89.61°, γ = 89.61°
Fractional positions:
Ac: 0.5664 0.5949 0.7418
Ac: 0.9336 0.2582 0.4051
Ac: 0.4336 0.4051 0.2582
Ac: 0.0664 0.7418 0.5949
Dy: 0.7500 0.9206 0.0794
Dy: 0.2500 0.0794 0.9206
Dy: 0.7500 0.2304 0.7696
Dy: 0.2500 0.7696 0.2304
Sn: 0.1602 0.7803 0.9366
Sn: 0.3398 0.0634 0.2197
Sn: 0.8398 0.2197 0.0634
Sn: 0.6602 0.9366 0.7803
Sn: 0.3236 0.3955 0.9331
Sn: 0.1764 0.0669 0.6045
Sn: 0.6764 0.6045 0.0669
Sn: 0.8236 0.9331 0.3955
Sn: 0.0629 0.4718 0.7421
Sn: 0.4371 0.2579 0.5282
Sn: 0.9371 0.5282 0.2579
Sn: 0.5629 0.7421 0.4718

M_tot in μB per formula unit: 0.00
Space-group type: C2/c
V in Å³ per cell: 625
Formation energy from the elements in eV per atom: -0.4640

---

Entry 4:
ZrNi2Cl | PBE | optimized geometry

a = 3.0049 Å, b = 4.2502 Å, c = 4.7110 Å
α = 90.00°, β = 90.00°, γ = 90.00°
Fractional positions:
Cl: 0.0000 0.5000 0.5000
Ni: 0.0000 0.0000 0.0000
Ni: 0.5000 0.5000 0.0000
Zr: 0.5000 0.0000 0.5000

Relative energy among the computed polymorphs in eV per atom: 0.315
M_tot in μB per formula unit: 0.01
Space-group type: Pmmm
Energy relative to the elements, uncorrected in eV per formula unit: -0.05
V in Å³ per cell: 60

---

Entry 5:
YSiF2 | PBE | optimized geometry

a = 4.9086 Å, b = 4.9086 Å, c = 4.9086 Å
α = 50.67°, β = 50.67°, γ = 50.67°
Fractional positions:
Y: 0.0000 0.0000 0.0000
Si: 0.5000 0.5000 0.5000
F: 0.6654 0.6654 0.6654
F: 0.3346 0.3346 0.3346

Relative energy among the computed polymorphs in eV per atom: 0.000
M_tot in μB per formula unit: 0.00
Space-group type: R-3m
Energy relative to the elements, uncorrected in eV per formula unit: -7.92
V in Å³ per cell: 65

---

Entry 6:
GeSbF4 | PBE | optimized geometry

a = 6.5317 Å, b = 6.5317 Å, c = 6.5317 Å
α = 112.72°, β = 112.72°, γ = 103.15°
Last column: magnetic moment on the atom in μB.
Fractional positions:
Ge: 0.2826 0.2826 0.0000  0.03
Ge: 0.0326 0.5326 0.5000  0.03
Sb: 0.7601 0.7601 0.0000  0.35
Sb: 0.5101 0.0101 0.5000  0.35
F: 0.2221 0.9020 0.6799  0.02
F: 0.7565 0.4485 0.6920  0.04
F: 0.6520 0.4721 0.1799  0.02
F: 0.1985 0.0065 0.1920  0.04
F: 0.2923 0.4721 0.8201  0.02
F: 0.8146 0.0065 0.8080  0.04
F: 0.7565 0.0646 0.3080  0.04
F: 0.2221 0.5423 0.3201  0.02

M_tot in μB per formula unit: 1.00
Space-group type: I4_1md
Energy relative to the elements, uncorrected in eV per formula unit: -10.61
V in Å³ per cell: 213

---

Entry 7:
CeGa2PbBr8 | PBE | optimized geometry

a = 7.2666 Å, b = 6.9045 Å, c = 8.9283 Å
α = 89.99°, β = 90.00°, γ = 91.86°
Last column: magnetic moment on the atom in μB.
Fractional positions:
Ce: 0.0000 0.0000 0.0000  0.20
Ga: 0.5000 0.5000 0.7388  -0.01
Ga: 0.5000 0.5000 0.2612  -0.01
Pb: 0.0000 0.0000 0.5000  0.00
Br: 0.1551 0.7740 0.2333  -0.01
Br: 0.6893 0.7567 0.0000  -0.01
Br: 0.8449 0.2259 0.2332  -0.01
Br: 0.8449 0.2260 0.7667  -0.01
Br: 0.3107 0.2433 0.0000  -0.01
Br: 0.1551 0.7741 0.7668  -0.01
Br: 0.6671 0.7261 0.5000  0.00
Br: 0.3329 0.2739 0.5000  0.00

M_tot in μB per formula unit: 0.14
Space-group type: P2/m
Energy relative to the elements, uncorrected in eV per formula unit: -12.74
V in Å³ per cell: 448

---

Entry 8:
NaBPd6 | PBE | optimized geometry

a = 5.1284 Å, b = 5.1284 Å, c = 5.1284 Å
α = 100.91°, β = 100.91°, γ = 100.91°
Fractional positions:
Na: 0.0000 0.0000 0.0000
B: 0.5000 0.5000 0.5000
Pd: 0.2160 0.6032 0.2160
Pd: 0.2160 0.2160 0.6032
Pd: 0.7840 0.3968 0.7840
Pd: 0.3968 0.7840 0.7840
Pd: 0.7840 0.7840 0.3968
Pd: 0.6032 0.2160 0.2160

M_tot in μB per formula unit: 0.00
Space-group type: R-3m
V in Å³ per cell: 126
Formation energy from the elements in eV per atom: -0.0407

---

Entry 9:
LiAcZn4Ga2 | PBE | optimized geometry

a = 4.3976 Å, b = 4.3976 Å, c = 9.4100 Å
α = 76.49°, β = 76.49°, γ = 60.00°
Fractional positions:
Li: 0.5000 0.5000 0.5000
Ac: 0.0000 0.0000 0.0000
Zn: 0.4052 0.4052 0.7845
Zn: 0.8665 0.8665 0.4005
Zn: 0.1335 0.1335 0.5995
Zn: 0.5948 0.5948 0.2155
Ga: 0.7628 0.7628 0.7115
Ga: 0.2372 0.2372 0.2885

M_tot in μB per formula unit: 0.00
Space-group type: R-3m
V in Å³ per cell: 152
Formation energy from the elements in eV per atom: -0.2538

---

Entry 10:
RbPuAg2 | PBE | optimized geometry

a = 3.7878 Å, b = 3.7878 Å, c = 8.6081 Å
α = 90.00°, β = 90.00°, γ = 90.00°
Last column: magnetic moment on the atom in μB.
Fractional positions:
Rb: 0.5000 0.5000 0.5000  0.01
Ag: 0.0000 0.0000 0.8052  0.04
Ag: 0.0000 0.0000 0.1948  0.04
Pu: 0.5000 0.5000 0.0000  5.61

M_tot in μB per formula unit: 6.36
Space-group type: P4/mmm
V in Å³ per cell: 124
Formation energy from the elements in eV per atom: 0.1653

---

Entry 11:
YCd3Hg3 | PBE | optimized geometry

a = 7.7511 Å, b = 7.7511 Å, c = 7.7511 Å
α = 90.00°, β = 90.00°, γ = 90.00°
Fractional positions:
Y: 0.5000 0.5000 0.5000
Y: 0.0000 0.0000 0.0000
Hg: 0.0000 0.2500 0.5000
Hg: 0.0000 0.7500 0.5000
Hg: 0.5000 0.0000 0.7500
Hg: 0.7500 0.5000 0.0000
Hg: 0.5000 0.0000 0.2500
Hg: 0.2500 0.5000 0.0000
Cd: 0.2500 0.0000 0.5000
Cd: 0.0000 0.5000 0.2500
Cd: 0.5000 0.7500 0.0000
Cd: 0.7500 0.0000 0.5000
Cd: 0.0000 0.5000 0.7500
Cd: 0.5000 0.2500 0.0000

Relative energy among the computed polymorphs in eV per atom: 0.572
M_tot in μB per formula unit: 0.00
Space-group type: Pm-3n
V in Å³ per cell: 466
Formation energy from the elements in eV per atom: 0.4197